(1)
TbHo2Tm3 | GGA-PBE | optimized geometry

Unit cell a=8.906 b=8.906 c=13.959 alpha=116.94 beta=116.94 gamma=22.40
Atoms (fractional coordinates):
Tb 0.061 0.061 0.145
Tb 0.939 0.939 0.855
Ho 0.158 0.158 0.968
Ho 0.319 0.319 0.616
Ho 0.681 0.681 0.384
Ho 0.842 0.842 0.032
Tm 0.099 0.099 0.526
Tm 0.239 0.239 0.793
Tm 0.460 0.460 0.289
Tm 0.540 0.540 0.711
Tm 0.761 0.761 0.207
Tm 0.901 0.901 0.474

Output
energy of formation	70	kJ/mol of formula units
total DFT energy (no corrections)	-4.413	eV per atom
magnetic moment	0.00	Bohr magnetons per cell

(2)
Tb6Ho3Tm | GGA-PBE | optimized geometry

Unit cell a=11.486 b=11.486 c=6.326 alpha=90.00 beta=90.00 gamma=130.60
Atoms (fractional coordinates):
Tb 0.015 0.985 0.500
Tb 0.105 0.543 0.005
Tb 0.258 0.379 0.246
Tb 0.301 0.699 0.468
Tb 0.379 0.258 0.746
Tb 0.457 0.895 0.005
Tb 0.543 0.105 0.505
Tb 0.621 0.742 0.246
Tb 0.699 0.301 0.968
Tb 0.742 0.621 0.746
Tb 0.895 0.457 0.505
Tb 0.985 0.015 0.000
Ho 0.042 0.295 0.668
Ho 0.295 0.042 0.168
Ho 0.420 0.580 0.769
Ho 0.580 0.420 0.269
Ho 0.705 0.958 0.668
Ho 0.958 0.705 0.168
Tm 0.160 0.840 0.695
Tm 0.840 0.160 0.195

Output
energy of formation	120	kJ/mol of formula units
total DFT energy (no corrections)	-4.474	eV per atom
magnetic moment	0.00	Bohr magnetons per cell

(3)
TbHo4Tm | GGA-PBE | optimized geometry

Unit cell a=6.503 b=6.503 c=6.503 alpha=60.00 beta=60.00 gamma=60.00
Atoms (fractional coordinates):
Tb 0.000 0.000 0.000
Ho 0.375 0.375 0.375
Ho 0.375 0.375 0.875
Ho 0.375 0.875 0.375
Ho 0.875 0.375 0.375
Tm 0.750 0.750 0.750

Output
energy of formation	155	kJ/mol of formula units
total DFT energy (no corrections)	-4.301	eV per atom
magnetic moment	0.13	Bohr magnetons per cell

(4)
Tb4HoTm15 | GGA-PBE | optimized geometry

Unit cell a=4.945 b=4.945 c=24.724 alpha=90.00 beta=90.00 gamma=90.00
Atoms (fractional coordinates):
Tb 0.000 0.000 0.100
Tb 0.000 0.000 0.300
Tb 0.000 0.000 0.700
Tb 0.000 0.000 0.900
Ho 0.000 0.000 0.500
Tm 0.000 0.500 0.000
Tm 0.000 0.500 0.200
Tm 0.000 0.500 0.400
Tm 0.000 0.500 0.600
Tm 0.000 0.500 0.800
Tm 0.500 0.000 0.000
Tm 0.500 0.000 0.200
Tm 0.500 0.000 0.400
Tm 0.500 0.000 0.600
Tm 0.500 0.000 0.800
Tm 0.500 0.500 0.100
Tm 0.500 0.500 0.300
Tm 0.500 0.500 0.500
Tm 0.500 0.500 0.700
Tm 0.500 0.500 0.900

Output
energy of formation	48	kJ/mol of formula units
total DFT energy (no corrections)	-4.484	eV per atom
magnetic moment	0.00	Bohr magnetons per cell

(5)
Tb6Ho2Tm5 | GGA-PBE | optimized geometry

Unit cell a=11.530 b=20.001 c=3.553 alpha=90.00 beta=90.00 gamma=90.00
Atoms (fractional coordinates):
Tb 0.058 0.081 0.000
Tb 0.084 0.368 0.000
Tb 0.172 0.634 0.500
Tb 0.328 0.134 0.500
Tb 0.416 0.868 0.000
Tb 0.442 0.581 0.000
Tb 0.558 0.419 0.000
Tb 0.584 0.132 0.000
Tb 0.672 0.866 0.500
Tb 0.828 0.366 0.500
Tb 0.916 0.632 0.000
Tb 0.942 0.919 0.000
Ho 0.165 0.789 0.000
Ho 0.335 0.289 0.000
Ho 0.665 0.711 0.000
Ho 0.835 0.211 0.000
Tm 0.000 0.500 0.500
Tm 0.093 0.226 0.500
Tm 0.198 0.949 0.500
Tm 0.302 0.449 0.500
Tm 0.407 0.726 0.500
Tm 0.500 0.000 0.500
Tm 0.593 0.274 0.500
Tm 0.698 0.551 0.500
Tm 0.802 0.051 0.500
Tm 0.907 0.774 0.500

Output
energy of formation	126	kJ/mol of formula units
total DFT energy (no corrections)	-4.460	eV per atom
magnetic moment	0.00	Bohr magnetons per cell

(6)
Tb7HoTm5 | GGA-PBE | optimized geometry

Unit cell a=8.642 b=8.642 c=8.642 alpha=135.13 beta=99.33 gamma=97.43
Atoms (fractional coordinates):
Tb 0.000 0.000 0.000
Tb 0.077 0.751 0.326
Tb 0.308 0.308 0.000
Tb 0.425 0.751 0.674
Tb 0.502 0.002 0.500
Tb 0.581 0.253 0.328
Tb 0.925 0.253 0.672
Ho 0.693 0.693 0.000
Tm 0.003 0.503 0.500
Tm 0.273 0.268 0.536
Tm 0.273 0.737 0.006
Tm 0.731 0.268 0.994
Tm 0.731 0.737 0.464

Output
energy of formation	320	kJ/mol of formula units
total DFT energy (no corrections)	-4.310	eV per atom
magnetic moment	0.00	Bohr magnetons per cell

- Among the records above, which one has the highest energy of formation?
  Tb7HoTm5